--- one ---
Ti2Sn2Pd | PBE | optimized geometry

The structure in CIF format:
```
data_Ti2Sn2Pd
_cell_length_a 6.908
_cell_length_b 6.908
_cell_length_c 4.097
_cell_angle_alpha 90.00
_cell_angle_beta 90.00
_cell_angle_gamma 90.00
_space_group_name_H-M_alt 'P 4/m b m'
_space_group_IT_number 127
_space_group_name_Hall '-P 4 2ab'
loop_
_atom_site_label
_atom_site_fract_x
_atom_site_fract_y
_atom_site_fract_z
Ti1 0.157 0.343 0.000
Sn1 0.146 0.646 0.500
Pd1 0.000 0.000 0.500
```

Results
M_tot = 0.000 μB/f.u.
crystal system = tetragonal

---

--- two ---
Ti2Sn2Pd | PBE | optimized geometry

The structure in CIF format:
```
data_Ti2Sn2Pd
_cell_length_a 7.903
_cell_length_b 7.903
_cell_length_c 3.165
_cell_angle_alpha 90.00
_cell_angle_beta 90.00
_cell_angle_gamma 90.00
_space_group_name_H-M_alt 'P 4/m b m'
_space_group_IT_number 127
_space_group_name_Hall '-P 4 2ab'
loop_
_atom_site_label
_atom_site_fract_x
_atom_site_fract_y
_atom_site_fract_z
Ti1 0.117 0.383 0.000
Sn1 0.184 0.684 0.500
Pd1 0.000 0.000 0.000
```

Results
M_tot = 0.827 μB/f.u.
crystal system = tetragonal

---

Preferred: one; penalty for the next structure: 0.161 eV/atom.

---

--- one ---
Ti3SnPd | PBE | optimized geometry

The structure in CIF format:
```
data_Ti3SnPd
_cell_length_a 9.976
_cell_length_b 4.727
_cell_length_c 7.895
_cell_angle_alpha 90.00
_cell_angle_beta 92.13
_cell_angle_gamma 90.00
_space_group_name_H-M_alt 'C 1 2/m 1'
_space_group_IT_number 12
_space_group_name_Hall '-C 2y'
loop_
_atom_site_label
_atom_site_fract_x
_atom_site_fract_y
_atom_site_fract_z
Ti1 0.045 0.000 0.321
Ti2 0.133 0.000 0.960
Ti3 0.171 0.500 0.733
Sn1 0.102 0.500 0.150
Pd1 0.206 0.000 0.586
```

Results
M_tot = 0.006 μB/f.u.
crystal system = monoclinic

---

--- two ---
Ti3SnPd | PBE | optimized geometry

The structure in CIF format:
```
data_Ti3SnPd
_cell_length_a 4.760
_cell_length_b 4.760
_cell_length_c 4.760
_cell_angle_alpha 90.00
_cell_angle_beta 90.00
_cell_angle_gamma 90.00
_space_group_name_H-M_alt 'P m -3 m'
_space_group_IT_number 221
_space_group_name_Hall '-P 4 2 3'
loop_
_atom_site_label
_atom_site_fract_x
_atom_site_fract_y
_atom_site_fract_z
Ti1 0.000 0.000 0.500
Sn1 0.500 0.500 0.500
Pd1 0.000 0.000 0.000
```

Results
M_tot = 0.000 μB/f.u.
crystal system = cubic

---

Preferred: one; penalty for the next structure: 0.448 eV/atom.

---

--- one ---
TiSn2Pd2 | PBE | optimized geometry

The structure in CIF format:
```
data_TiSn2Pd2
_cell_length_a 7.600
_cell_length_b 7.600
_cell_length_c 3.282
_cell_angle_alpha 90.00
_cell_angle_beta 90.00
_cell_angle_gamma 90.00
_space_group_name_H-M_alt 'P 4/m b m'
_space_group_IT_number 127
_space_group_name_Hall '-P 4 2ab'
loop_
_atom_site_label
_atom_site_fract_x
_atom_site_fract_y
_atom_site_fract_z
Ti1 0.000 0.000 0.000
Sn1 0.172 0.328 0.500
Pd1 0.128 0.628 0.000
```

Results
M_tot = 0.000 μB/f.u.
crystal system = tetragonal

---

--- two ---
TiSn2Pd2 | PBE | optimized geometry

The structure in CIF format:
```
data_TiSn2Pd2
_cell_length_a 3.986
_cell_length_b 3.986
_cell_length_c 12.569
_cell_angle_alpha 90.00
_cell_angle_beta 90.00
_cell_angle_gamma 90.00
_space_group_name_H-M_alt 'I 4/m m m'
_space_group_IT_number 139
_space_group_name_Hall '-I 4 2'
loop_
_atom_site_label
_atom_site_fract_x
_atom_site_fract_y
_atom_site_fract_z
Ti1 0.000 0.000 0.000
Sn1 0.000 0.000 0.391
Pd1 0.000 0.500 0.250
```

Results
M_tot = 0.000 μB/f.u.
crystal system = tetragonal

---

Preferred: one; penalty for the next structure: 0.112 eV/atom.

---

--- one ---
TlSn2Pd | PBE | optimized geometry

The structure in CIF format:
```
data_TlSn2Pd
_cell_length_a 3.369
_cell_length_b 3.369
_cell_length_c 8.560
_cell_angle_alpha 90.00
_cell_angle_beta 90.00
_cell_angle_gamma 90.00
_space_group_name_H-M_alt 'P 4/m m m'
_space_group_IT_number 123
_space_group_name_Hall '-P 4 2'
loop_
_atom_site_label
_atom_site_fract_x
_atom_site_fract_y
_atom_site_fract_z
Tl1 0.000 0.000 0.000
Sn1 0.500 0.500 0.307
Pd1 0.000 0.000 0.500
```

Results
M_tot = 0.000 μB/f.u.
crystal system = tetragonal

---

--- two ---
TlSn2Pd | PBE | optimized geometry

The structure in CIF format:
```
data_TlSn2Pd
_cell_length_a 4.4940
_cell_length_b 4.4940
_cell_length_c 18.5631
_cell_angle_alpha 90.00
_cell_angle_beta 90.00
_cell_angle_gamma 120.00
_space_group_name_H-M_alt 'R 3 m'
_space_group_IT_number 160
_space_group_name_Hall 'R 3 -2"'
loop_
_atom_site_label
_atom_site_fract_x
_atom_site_fract_y
_atom_site_fract_z
Tl1 0.0000 0.0000 0.0000
Sn1 0.0000 0.0000 0.5551
Sn2 0.0000 0.0000 0.7833
Pd1 0.0000 0.0000 0.1705
```

Results
M_tot = 0.000 μB/f.u.
crystal system = trigonal

---

Preferred: one; penalty for the next structure: 0.041 eV/atom.

---

--- one ---
TlSn2Pd | PBE | optimized geometry

The structure in CIF format:
```
data_TlSn2Pd
_cell_length_a 4.920
_cell_length_b 4.920
_cell_length_c 17.996
_cell_angle_alpha 90.00
_cell_angle_beta 90.00
_cell_angle_gamma 90.00
_space_group_name_H-M_alt 'I -4 2 d'
_space_group_IT_number 122
_space_group_name_Hall 'I -4 2bw'
loop_
_atom_site_label
_atom_site_fract_x
_atom_site_fract_y
_atom_site_fract_z
Tl1 0.000 0.000 0.000
Sn1 0.179 0.250 0.625
Pd1 0.000 0.000 0.500
```

Results
M_tot = 0.000 μB/f.u.
crystal system = tetragonal

---

--- two ---
TlSn2Pd | PBE | optimized geometry

The structure in CIF format:
```
data_TlSn2Pd
_cell_length_a 3.3002
_cell_length_b 3.3002
_cell_length_c 31.7968
_cell_angle_alpha 90.00
_cell_angle_beta 90.00
_cell_angle_gamma 120.00
_space_group_name_H-M_alt 'R -3 m'
_space_group_IT_number 166
_space_group_name_Hall '-R 3 2"'
loop_
_atom_site_label
_atom_site_fract_x
_atom_site_fract_y
_atom_site_fract_z
Tl1 0.0000 0.0000 0.0000
Sn1 0.0000 0.0000 0.1011
Pd1 0.0000 0.0000 0.5000
```

Results
M_tot = 0.000 μB/f.u.
crystal system = trigonal

---

--- three ---
TlSn2Pd | PBE | optimized geometry

The structure in CIF format:
```
data_TlSn2Pd
_cell_length_a 7.247
_cell_length_b 7.247
_cell_length_c 7.247
_cell_angle_alpha 90.00
_cell_angle_beta 90.00
_cell_angle_gamma 90.00
_space_group_name_H-M_alt 'F m -3 m'
_space_group_IT_number 225
_space_group_name_Hall '-F 4 2 3'
loop_
_atom_site_label
_atom_site_fract_x
_atom_site_fract_y
_atom_site_fract_z
Tl1 0.000 0.000 0.000
Sn1 0.250 0.250 0.250
Pd1 0.000 0.000 0.500
```

Results
M_tot = 0.000 μB/f.u.
crystal system = cubic

---

Preferred: two; penalty for the next structure: 0.154 eV/atom.

---

--- one ---
Tl2SnPd8 | PBE | optimized geometry

The structure in CIF format:
```
data_Tl2SnPd8
_cell_length_a 14.676
_cell_length_b 4.204
_cell_length_c 6.353
_cell_angle_alpha 90.00
_cell_angle_beta 105.85
_cell_angle_gamma 90.00
_space_group_name_H-M_alt 'C 1 2/m 1'
_space_group_IT_number 12
_space_group_name_Hall '-C 2y'
loop_
_atom_site_label
_atom_site_fract_x
_atom_site_fract_y
_atom_site_fract_z
Tl1 0.215 0.000 0.158
Sn1 0.000 0.500 0.500
Pd1 0.036 0.000 0.234
Pd2 0.089 0.500 0.952
Pd3 0.145 0.000 0.694
Pd4 0.172 0.500 0.415
```

Results
M_tot = 0.000 μB/f.u.
crystal system = monoclinic

---

--- two ---
Tl2SnPd8 | PBE | optimized geometry

The structure in CIF format:
```
data_Tl2SnPd8
_cell_length_a 4.671
_cell_length_b 6.028
_cell_length_c 13.953
_cell_angle_alpha 90.00
_cell_angle_beta 90.00
_cell_angle_gamma 90.00
_space_group_name_H-M_alt 'I m m m'
_space_group_IT_number 71
_space_group_name_Hall '-I 2 2'
loop_
_atom_site_label
_atom_site_fract_x
_atom_site_fract_y
_atom_site_fract_z
Tl1 0.000 0.000 0.174
Sn1 0.000 0.000 0.500
Pd1 0.000 0.249 0.000
Pd2 0.000 0.255 0.347
Pd3 0.000 0.500 0.172
```

Results
M_tot = 0.000 μB/f.u.
crystal system = orthorhombic

---

Preferred: one; penalty for the next structure: 0.025 eV/atom.

---

--- one ---
TlSnPd6 | PBE | optimized geometry

The structure in CIF format:
```
data_TlSnPd6
_cell_length_a 5.184
_cell_length_b 5.218
_cell_length_c 5.256
_cell_angle_alpha 94.11
_cell_angle_beta 94.82
_cell_angle_gamma 95.08
_space_group_name_H-M_alt 'P -1'
_space_group_IT_number 2
_space_group_name_Hall '-P 1'
loop_
_atom_site_label
_atom_site_fract_x
_atom_site_fract_y
_atom_site_fract_z
Tl1 0.000 0.000 0.000
Sn1 0.500 0.500 0.500
Pd1 0.061 0.749 0.446
Pd2 0.252 0.556 0.934
Pd3 0.448 0.061 0.748
```

Results
M_tot = 0.000 μB/f.u.
crystal system = triclinic

---

--- two ---
TlSnPd6 | PBE | optimized geometry

The structure in CIF format:
```
data_TlSnPd6
_cell_length_a 4.064
_cell_length_b 4.064
_cell_length_c 8.118
_cell_angle_alpha 90.00
_cell_angle_beta 90.00
_cell_angle_gamma 90.00
_space_group_name_H-M_alt 'P 4/m m m'
_space_group_IT_number 123
_space_group_name_Hall '-P 4 2'
loop_
_atom_site_label
_atom_site_fract_x
_atom_site_fract_y
_atom_site_fract_z
Tl1 0.000 0.000 0.000
Sn1 0.000 0.000 0.500
Pd1 0.000 0.500 0.257
Pd2 0.500 0.500 0.000
Pd3 0.500 0.500 0.500
```

Results
M_tot = 0.000 μB/f.u.
crystal system = tetragonal

---

Preferred: two; penalty for the next structure: 0.118 eV/atom.

---

--- one ---
TlSnPd3 | PBE | optimized geometry

The structure in CIF format:
```
data_TlSnPd3
_cell_length_a 6.586
_cell_length_b 3.960
_cell_length_c 7.886
_cell_angle_alpha 90.00
_cell_angle_beta 103.78
_cell_angle_gamma 90.00
_space_group_name_H-M_alt 'P 1 21/m 1'
_space_group_IT_number 11
_space_group_name_Hall '-P 2yb'
loop_
_atom_site_label
_atom_site_fract_x
_atom_site_fract_y
_atom_site_fract_z
Tl1 0.217 0.250 0.130
Sn1 0.301 0.250 0.679
Pd1 0.008 0.750 0.629
Pd2 0.337 0.750 0.434
Pd3 0.358 0.750 0.924
```

Results
M_tot = 0.000 μB/f.u.
crystal system = monoclinic

---

--- two ---
TlSnPd3 | PBE | optimized geometry

The structure in CIF format:
```
data_TlSnPd3
_cell_length_a 5.000
_cell_length_b 5.000
_cell_length_c 5.000
_cell_angle_alpha 90.00
_cell_angle_beta 90.00
_cell_angle_gamma 90.00
_space_group_name_H-M_alt 'P m -3 m'
_space_group_IT_number 221
_space_group_name_Hall '-P 4 2 3'
loop_
_atom_site_label
_atom_site_fract_x
_atom_site_fract_y
_atom_site_fract_z
Tl1 0.000 0.000 0.000
Sn1 0.500 0.500 0.500
Pd1 0.000 0.500 0.500
```

Results
M_tot = 0.000 μB/f.u.
crystal system = cubic

---

Preferred: one; penalty for the next structure: 0.634 eV/atom.